Entry from Alexandria: an optimized crystal structure of FeP2O (PBE with a Hubbard U).

Values from the calculation:
Its total energy is -23.05 eV for the cell shown.

CIF file:
```
data_FeP2O
_chemical_formula_sum 'Fe1 P2 O1'
_cell_length_a 2.858
_cell_length_b 4.406
_cell_length_c 5.443
_cell_angle_alpha 97.26
_cell_angle_beta 104.98
_cell_angle_gamma 108.71
_symmetry_space_group_name_H-M 'P 1'
_symmetry_Int_Tables_number 1
loop_
_symmetry_equiv_pos_as_xyz
'x,y,z'
loop_
_atom_site_label
_atom_site_type_symbol
_atom_site_fract_x
_atom_site_fract_y
_atom_site_fract_z
Fe1 Fe 0.000 0.000 0.000
P1 P 0.121 0.481 0.770
P2 P 0.885 0.441 0.351
O1 O 0.042 0.801 0.314
```